# 1
9
Lattice="7.899 -3.052 0.000 7.899 3.052 0.000 -0.374 0.000 14.118" Properties=species:S:1:pos:R:3 comment="Cs3Rb2Na4, relaxed, DFT PBE" polymorph_energy_ev_per_atom=0.0080 e_form_ev_per_fu=0.4 spacegroup="C2/m, No. 12" m_tot_mub_per_fu=0.000 dft_energy_ev_per_atom=-1.041 pbc="T T T"
Cs 0.000 0.000 0.000
Cs 5.494 0.000 8.685
Cs 9.929 0.000 5.433
Rb 5.301 0.000 3.123
Rb 10.123 0.000 10.995
Na 0.860 0.000 8.536
Na 4.223 0.000 13.137
Na 11.200 0.000 0.981
Na 14.563 0.000 5.582

=====

# 2
16
Lattice="6.889 -6.697 0.000 6.889 6.697 0.000 -3.453 0.000 5.996" Properties=species:S:1:pos:R:3 comment="Pm4PrSm2Er, relaxed, DFT PBE" e_form_ev_per_fu=3.1 spacegroup="C2/c, No. 15" m_tot_mub_per_fu=0.005 dft_energy_ev_per_atom=-4.337 pbc="T T T"
Pm 3.434 3.407 5.991
Pm 1.783 0.012 2.822
Pm 5.165 3.407 3.003
Pm 0.056 -0.012 5.821
Pm 10.269 0.012 0.176
Pm 5.160 -3.407 2.993
Pm 8.543 -0.012 3.174
Pm 6.892 -3.407 0.005
Pr 3.444 3.349 0.000
Pr 1.718 -3.349 2.998
Sm 1.718 3.349 2.998
Sm 3.444 -3.349 0.000
Sm 6.889 0.000 0.000
Sm 5.163 0.000 2.998
Er 0.000 0.000 0.000
Er -1.726 0.000 2.998

=====

# 3
4
Lattice="4.204 -1.342 0.000 4.204 1.342 0.000 -0.743 0.000 4.692" Properties=species:S:1:pos:R:3 comment="AlNi2W, relaxed, DFT PBE" e_form_ev_per_fu=-0.4 spacegroup="C2/m, No. 12" m_tot_mub_per_fu=0.000 dft_energy_ev_per_atom=-7.157 pbc="T T T"
Al 0.000 0.000 0.000
Ni 1.586 0.000 3.490
Ni 6.079 0.000 1.201
W 3.832 0.000 2.346

=====

# 4
4
Lattice="4.631 -1.548 0.000 4.631 1.548 0.000 -0.616 0.000 4.750" Properties=species:S:1:pos:R:3 comment="Ta2OsSe, relaxed, DFT PBE" formation_energy_uncorrected_ev_per_atom=0.2165 spacegroup="C2/m, No. 12" m_tot_mub_per_fu=0.000 dft_energy_ev_per_atom=-9.388 pbc="T T T"
Ta 2.118 0.000 1.125
Ta 6.528 0.000 3.625
Os 4.631 0.000 0.000
Se -0.308 0.000 2.375

=====

# 5
4
Lattice="1.994 1.151 7.005 -1.994 1.151 7.005 0.000 -2.302 7.005" Properties=species:S:1:pos:R:3 comment="TbCeP2, relaxed, DFT PBE" polymorph_energy_ev_per_atom=0.1733 e_form_ev_per_fu=-5.5 spacegroup="R3m, No. 160" m_tot_mub_per_fu=0.850 dft_energy_ev_per_atom=-6.733 pbc="T T T"
Tb 0.000 0.000 0.000
Ce 0.000 0.000 17.397
P 0.000 0.000 8.638
P 0.000 0.000 12.242

=====

# 6
80
Lattice="-7.069 7.069 7.069 7.069 -7.069 7.069 7.069 7.069 -7.069" Properties=species:S:1:pos:R:3 comment="V12Zn5Cr3, relaxed, DFT PBE" e_form_ev_per_fu=19.0 spacegroup="Ia-3d, No. 230" m_tot_mub_per_fu=3.531 dft_energy_ev_per_atom=-6.282 pbc="T T T"
V 6.972 -1.262 2.156
V 10.700 -1.378 2.272
V 2.156 -0.097 1.262
V 8.447 4.797 -3.631
V 9.225 0.097 1.262
V 8.447 -2.272 3.631
V 1.262 2.156 -0.097
V 9.341 3.438 -1.378
V 4.797 3.631 -1.378
V 5.807 2.156 0.097
V -0.097 1.262 2.156
V 3.631 -1.378 4.797
V 6.972 5.807 -2.156
V 3.631 1.378 2.272
V 5.807 -2.156 6.972
V 4.797 -3.631 8.447
V 2.272 3.631 1.378
V 8.331 4.913 0.097
V 2.156 6.972 -1.262
V 8.447 2.272 3.438
V 1.378 2.272 3.631
V 2.156 0.097 5.807
V 3.631 8.447 -2.272
V 6.972 1.262 4.913
V 0.097 5.807 2.156
V 3.438 -1.378 9.341
V 4.913 6.972 1.262
V 5.691 4.797 3.438
V -1.378 4.797 3.631
V 4.913 0.097 8.331
V -1.262 2.156 6.972
V 4.797 3.438 5.691
V 2.272 10.700 -1.378
V 1.262 9.225 0.097
V 3.438 5.691 4.797
V 0.097 1.262 9.225
V 3.438 8.447 2.272
V 7.166 5.807 4.913
V 1.262 4.913 6.972
V 2.272 3.438 8.447
V -2.272 3.631 8.447
V 5.807 4.913 7.166
V -1.378 9.341 3.438
V -2.156 6.972 5.807
V -1.378 2.272 10.700
V 4.913 7.166 5.807
V -3.631 8.447 4.797
V 0.097 8.331 4.913
Zn 0.000 0.000 0.000
Zn 3.535 3.535 -3.535
Zn 3.535 -3.535 3.535
Zn 7.069 0.000 0.000
Zn 10.604 1.767 0.000
Zn 7.069 -3.535 5.302
Zn 5.302 7.069 -3.535
Zn 5.302 0.000 3.535
Zn 3.535 5.302 0.000
Zn 7.069 3.535 1.767
Zn -3.535 3.535 3.535
Zn 0.000 7.069 0.000
Zn 0.000 0.000 7.069
Zn 3.535 3.535 3.535
Zn 0.000 3.535 5.302
Zn 3.535 1.767 7.069
Zn 1.767 7.069 3.535
Zn 1.767 0.000 10.604
Zn 0.000 10.604 1.767
Zn -3.535 5.302 7.069
Cr 3.535 1.767 0.000
Cr 7.069 3.535 -1.767
Cr 1.767 0.000 3.535
Cr 8.836 0.000 3.535
Cr 0.000 3.535 1.767
Cr 3.535 -1.767 7.069
Cr 3.535 8.836 0.000
Cr 7.069 3.535 5.302
Cr -1.767 7.069 3.535
Cr 5.302 7.069 3.535
Cr 0.000 3.535 8.836
Cr 3.535 5.302 7.069

=====

# 7
4
Lattice="3.719 0.000 0.000 0.000 3.719 0.000 0.000 0.000 4.546" Properties=species:S:1:pos:R:3 comment="Ag2POs, relaxed, DFT PBE" e_form_ev_per_fu=2.7 spacegroup="P4/mmm, No. 123" m_tot_mub_per_fu=0.000 dft_energy_ev_per_atom=-4.911 pbc="T T T"
Ag 0.000 1.859 0.000
Ag 1.859 0.000 0.000
P 0.000 0.000 2.273
Os 1.859 1.859 2.273

=====

# 8
10
Lattice="7.047 0.000 0.000 0.000 7.047 0.000 0.000 0.000 3.019" Properties=species:S:1:pos:R:3 comment="ReW2S2, relaxed, DFT PBE" formation_energy_uncorrected_ev_per_atom=0.7119 polymorph_energy_ev_per_atom=0.0704 spacegroup="P4/mbm, No. 127" m_tot_mub_per_fu=0.000 dft_energy_ev_per_atom=-8.610 pbc="T T T"
Re 0.000 0.000 0.000
Re 3.524 3.524 0.000
W 1.044 2.480 0.000
W 2.480 6.003 0.000
W 4.567 1.044 0.000
W 6.003 4.567 0.000
S 1.005 4.529 1.509
S 2.518 1.005 1.509
S 4.529 6.042 1.509
S 6.042 2.518 1.509

=====

# 9
20
Lattice="4.587 -7.464 0.000 4.587 7.464 0.000 -1.817 0.000 9.763" Properties=species:S:1:pos:R:3 comment="Pm2NdY6Th, relaxed, DFT PBE" e_form_ev_per_fu=1.5 spacegroup="C2/c, No. 15" m_tot_mub_per_fu=0.000 dft_energy_ev_per_atom=-5.899 pbc="T T T"
Pm 2.077 0.692 0.456
Pm 1.169 -0.692 5.337
Pm 6.188 0.692 4.426
Pm 5.280 -0.692 9.307
Nd 3.224 1.448 7.322
Nd 4.133 -1.448 2.441
Y 2.432 4.143 1.778
Y 2.912 4.689 5.435
Y 3.536 4.689 9.210
Y 3.016 1.539 3.729
Y 5.834 4.143 3.103
Y 5.249 1.539 1.153
Y 2.107 -1.539 8.610
Y 1.523 -4.143 6.660
Y 4.341 -1.539 6.035
Y 3.821 -4.689 0.553
Y 4.445 -4.689 4.328
Y 4.925 -4.143 7.985
Th 4.133 7.202 2.441
Th 3.224 -7.202 7.322

=====

# 10
5
Lattice="3.942 0.000 0.000 0.000 3.942 0.000 0.000 0.000 3.966" Properties=species:S:1:pos:R:3 comment="MoHRu2W, relaxed, DFT PBE" polymorph_energy_ev_per_atom=0.0000 spacegroup="P4/mmm, No. 123" m_tot_mub_per_fu=0.000 dft_energy_ev_per_atom=-9.122 pbc="T T T"
Mo 0.000 0.000 0.000
H 0.000 0.000 1.983
Ru 0.000 1.971 1.983
Ru 1.971 0.000 1.983
W 1.971 1.971 0.000

=====

# 11
12
Lattice="0.000 8.380 3.451 5.617 0.000 3.451 5.617 8.380 0.000" Properties=species:S:1:pos:R:3 comment="AcBiH, relaxed, DFT PBE" polymorph_energy_ev_per_atom=0.0000 spacegroup="Fdd2, No. 43" m_tot_mub_per_fu=0.000 dft_energy_ev_per_atom=-4.393 pbc="T T T"
Ac 6.714 5.035 3.451
Ac 7.329 9.225 5.177
Ac 4.521 11.725 3.451
Ac 3.905 7.535 5.177
Bi 1.819 1.990 1.856
Bi 4.627 2.199 3.582
Bi 3.798 6.389 1.856
Bi 6.607 14.560 3.582
H 6.098 7.331 4.133
H 5.136 9.429 4.133
H 7.945 11.521 5.858
H 8.907 13.619 5.858

=====

# 12
4
Lattice="4.406 -1.815 0.000 4.406 1.815 0.000 -1.618 0.000 6.528" Properties=species:S:1:pos:R:3 comment="SrZrZn2, relaxed, DFT PBE" e_form_ev_per_fu=0.3 spacegroup="C2/m, No. 12" m_tot_mub_per_fu=0.000 dft_energy_ev_per_atom=-3.126 pbc="T T T"
Sr 0.000 0.000 0.000
Zr 3.597 0.000 3.264
Zn 1.031 0.000 4.347
Zn 6.162 0.000 2.182

=====

# 13
5
Lattice="-2.052 2.052 4.403 2.052 -2.052 4.403 2.052 2.052 -4.403" Properties=species:S:1:pos:R:3 comment="Tc2CO2, relaxed, DFT PBE" formation_energy_uncorrected_ev_per_atom=-0.1563 polymorph_energy_ev_per_atom=0.1762 spacegroup="I4/mmm, No. 139" m_tot_mub_per_fu=0.000 dft_energy_ev_per_atom=-8.131 pbc="T T T"
Tc 0.000 0.000 1.803
Tc 0.000 0.000 7.003
C 0.000 0.000 0.000
O 2.052 0.000 2.201
O 0.000 2.052 2.201

=====

# 14
6
Lattice="-2.142 2.142 8.042 2.142 -2.142 8.042 2.142 2.142 -8.042" Properties=species:S:1:pos:R:3 comment="ThScGe, relaxed, DFT PBE" e_form_ev_per_fu=-1.9 spacegroup="I4/mmm, No. 139" m_tot_mub_per_fu=0.363 dft_energy_ev_per_atom=-6.768 pbc="T T T"
Th 0.000 0.000 2.853
Th 0.000 0.000 13.231
Sc 2.142 0.000 0.000
Sc 0.000 2.142 0.000
Ge 0.000 0.000 6.056
Ge 0.000 0.000 10.028

=====

# 15
9
Lattice="5.891 -2.375 0.000 5.891 2.375 0.000 -2.645 0.000 8.763" Properties=species:S:1:pos:R:3 comment="Li2La3Sn4, relaxed, DFT PBE" e_form_ev_per_fu=-6.4 spacegroup="C2/m, No. 12" m_tot_mub_per_fu=0.000 dft_energy_ev_per_atom=-4.554 pbc="T T T"
Li 1.158 0.000 3.096
Li 7.979 0.000 5.667
La -0.196 0.000 5.996
La 5.891 0.000 0.000
La 9.333 0.000 2.767
Sn 2.263 0.000 0.599
Sn 3.386 0.000 5.312
Sn 5.752 0.000 3.450
Sn 6.874 0.000 8.164

=====

# 16
11
Lattice="4.192 -6.564 0.000 4.192 6.564 0.000 -1.403 0.000 5.271" Properties=species:S:1:pos:R:3 comment="Ce8CdOs2, relaxed, DFT PBE" e_form_ev_per_fu=-0.7 spacegroup="C2/m, No. 12" m_tot_mub_per_fu=2.903 dft_energy_ev_per_atom=-6.505 pbc="T T T"
Ce -0.483 0.000 4.274
Ce 1.850 1.433 2.318
Ce 4.192 3.318 0.000
Ce 1.850 -1.433 2.318
Ce 5.131 1.433 2.953
Ce 4.192 -3.318 0.000
Ce 5.131 -1.433 2.953
Ce 7.463 0.000 0.997
Cd 4.192 0.000 0.000
Os 3.490 3.815 2.635
Os 3.490 -3.815 2.635

=====

# 17
5
Lattice="4.404 0.000 0.000 0.000 4.404 0.000 0.000 0.000 4.217" Properties=species:S:1:pos:R:3 comment="BePAuS2, relaxed, DFT PBE" formation_energy_uncorrected_ev_per_atom=0.6435 polymorph_energy_ev_per_atom=0.0000 spacegroup="P4/mmm, No. 123" m_tot_mub_per_fu=0.000 dft_energy_ev_per_atom=-3.490 pbc="T T T"
Be 0.000 0.000 0.000
P 0.000 0.000 2.109
Au 2.202 2.202 2.109
S 0.000 2.202 0.000
S 2.202 0.000 0.000

=====

# 18
5
Lattice="4.660 0.000 0.000 0.000 4.660 0.000 0.000 0.000 4.660" Properties=species:S:1:pos:R:3 comment="MgTi3Si, relaxed, DFT PBE" formation_energy_uncorrected_ev_per_atom=1.2316 polymorph_energy_ev_per_atom=1.0207 spacegroup="Pm-3m, No. 221" m_tot_mub_per_fu=0.959 dft_energy_ev_per_atom=-4.909 pbc="T T T"
Mg 0.000 0.000 0.000
Ti 0.000 0.000 2.330
Ti 0.000 2.330 0.000
Ti 2.330 0.000 0.000
Si 2.330 2.330 2.330

=====

# 19
5
Lattice="6.112 0.000 0.000 0.000 6.112 0.000 0.000 0.000 6.112" Properties=species:S:1:pos:R:3 comment="K3CuIr, relaxed, DFT PBE" polymorph_energy_ev_per_atom=0.0000 e_form_ev_per_fu=4.5 spacegroup="Pm-3m, No. 221" m_tot_mub_per_fu=1.000 dft_energy_ev_per_atom=-2.360 pbc="T T T"
K 0.000 0.000 3.056
K 0.000 3.056 0.000
K 3.056 0.000 0.000
Cu 3.056 3.056 3.056
Ir 0.000 0.000 0.000

=====

# 20
4
Lattice="1.856 1.072 12.509 -1.856 1.072 12.509 0.000 -2.144 12.509" Properties=species:S:1:pos:R:3 comment="K2YAg, relaxed, DFT PBE" polymorph_energy_ev_per_atom=0.3052 e_form_ev_per_fu=1.6 spacegroup="R-3m, No. 166" m_tot_mub_per_fu=0.180 dft_energy_ev_per_atom=-2.484 pbc="T T T"
K 0.000 0.000 8.902
K 0.000 0.000 28.624
Y 0.000 0.000 0.000
Ag 0.000 0.000 18.763